[1]
Ba3YOs | PBE | relaxed

Values from the calculation:
ΔE_f in meV/atom: 1885
Size of the total moment in μB per cell: 0.07
VASP energy in eV per atom: -2.807
Energy relative to the lowest polymorph listed for this composition in meV/atom: 1223
Theoretical density in g cm⁻³: 5.1

```
Ba3YOs
1.0
6.099 0.000 0.000
0.000 6.099 0.000
0.000 0.000 6.099
Ba Y Os
3 1 1
Direct
0.000 0.000 0.500
0.000 0.500 0.000
0.500 0.000 0.000
0.000 0.000 0.000
0.500 0.500 0.500
```


[2]
YEr5Ag4 | PBE | relaxed

Values from the calculation:
ΔE_f in meV/atom: -257
Size of the total moment in μB per cell: 0.00
VASP energy in eV per atom: -4.325
Theoretical density in g cm⁻³: 9.0

```
YEr5Ag4
1.0
3.581 0.000 0.000
0.000 3.581 0.000
0.000 0.000 19.555
Y Er Ag
1 5 4
Direct
0.000 0.000 0.000
0.500 0.500 0.127
0.500 0.500 0.313
0.500 0.500 0.500
0.500 0.500 0.687
0.500 0.500 0.873
0.000 0.000 0.220
0.000 0.000 0.407
0.000 0.000 0.593
0.000 0.000 0.780
```


- The lowest ΔE_f belongs to which entry?
  YEr5Ag4


- ΔE_f of number 2 (YEr5Ag4)?
  -257 meV/atom


- Which of these has the lowest theoretical density?
  Ba3YOs